Entry 1:
A plane-wave DFT calculation with GGA-PBEsol was carried out for a relaxed UGaAu crystal.

Cell lengths 4.7748, 4.7748, 5.6345 Å; angles 90.00, 90.00, 120.00 degrees
Element x y z (fractional)
Ga: 0.6667 0.3333 0.2500
Ga: 0.3333 0.6667 0.7500
U: 0.0000 0.0000 0.5000
U: 0.0000 0.0000 0.0000
Au: 0.3333 0.6667 0.2500
Au: 0.6667 0.3333 0.7500

Values from the calculation:
Total magnetization ... 0.918 μB per atom
N(E_F) ... 7.973 states/eV/cell
Energy relative to the elements ... -0.261 eV/atom

Entry 2:
A plane-wave DFT calculation with GGA-PBEsol was carried out for a relaxed YGaAu crystal.

Cell lengths 4.4234, 5.6268, 5.7161 Å; angles 76.54, 67.24, 66.85 degrees
Element x y z (fractional)
Ga: 0.8420 0.2128 0.1031
Ga: 0.1580 0.7872 0.8969
Au: 0.1759 0.3648 0.2835
Au: 0.8241 0.6352 0.7165
Y: 0.4608 0.7794 0.2990
Y: 0.5392 0.2206 0.7010

Values from the calculation:
Total magnetization ... 0.000 μB per atom
N(E_F) ... 2.380 states/eV/cell
Energy relative to the elements ... -0.861 eV/atom

Entry 3:
A plane-wave DFT calculation with GGA-PBEsol was carried out for a relaxed YGa2Au2 crystal.

Cell lengths 3.9681, 3.9681, 6.7229 Å; angles 107.16, 107.16, 90.00 degrees
Element x y z (fractional)
Ga: 0.7500 0.2500 0.5000
Ga: 0.2500 0.7500 0.5000
Au: 0.6097 0.6097 0.2193
Au: 0.3903 0.3903 0.7807
Y: 0.0000 0.0000 0.0000

Values from the calculation:
Total magnetization ... 0.000 μB per atom
N(E_F) ... 2.270 states/eV/cell
Energy relative to the elements ... -0.630 eV/atom

Entry 4:
A plane-wave DFT calculation with GGA-PBEsol was carried out for a relaxed Y2Ga2Au crystal.

Cell lengths 4.4201, 6.8403, 6.8403 Å; angles 90.00, 90.00, 90.00 degrees
Element x y z (fractional)
Y: 0.5000 0.1720 0.6720
Y: 0.5000 0.6720 0.8280
Y: 0.5000 0.8280 0.3280
Y: 0.5000 0.3280 0.1720
Au: 0.0000 0.5000 0.5000
Au: 0.0000 0.0000 0.0000
Ga: 0.0000 0.6316 0.1316
Ga: 0.0000 0.8684 0.6316
Ga: 0.0000 0.3684 0.8684
Ga: 0.0000 0.1316 0.3684

Values from the calculation:
Total magnetization ... 0.000 μB per atom
N(E_F) ... 6.389 states/eV/cell
Energy relative to the elements ... -0.768 eV/atom

Entry 5:
A plane-wave DFT calculation with GGA-PBEsol was carried out for a relaxed Zn2GaAu2 crystal.

Cell lengths 2.8572, 7.6138, 7.6138 Å; angles 90.00, 90.00, 90.00 degrees
Element x y z (fractional)
Au: 0.0000 0.1721 0.3279
Au: 0.0000 0.6721 0.1721
Au: 0.0000 0.8279 0.6721
Au: 0.0000 0.3279 0.8279
Zn: 0.5000 0.1255 0.6255
Zn: 0.5000 0.8745 0.3745
Zn: 0.5000 0.3745 0.1255
Zn: 0.5000 0.6255 0.8745
Ga: 0.0000 0.5000 0.5000
Ga: 0.0000 0.0000 0.0000

Values from the calculation:
Total magnetization ... 0.000 μB per atom
N(E_F) ... 2.833 states/eV/cell
Energy relative to the elements ... -0.153 eV/atom

Entry 6:
A plane-wave DFT calculation with GGA-PBEsol was carried out for a relaxed GdAu crystal.

Cell lengths 3.5711, 3.5711, 3.5711 Å; angles 90.00, 90.00, 90.00 degrees
Element x y z (fractional)
Au: 0.5000 0.5000 0.5000
Gd: 0.0000 0.0000 0.0000

Values from the calculation:
Total magnetization ... 3.560 μB per atom
N(E_F) ... 1.345 states/eV/cell
Energy relative to the elements ... -0.821 eV/atom

Entry 7:
A plane-wave DFT calculation with GGA-PBEsol was carried out for a relaxed GdInAu crystal.

Cell lengths 4.0049, 7.6368, 7.6368 Å; angles 120.00, 90.00, 90.00 degrees
Element x y z (fractional)
Au: 0.0000 0.3333 0.6667
Au: 0.5000 0.0000 0.0000
Au: 0.0000 0.6667 0.3333
In: 0.0000 0.7421 0.7421
In: 0.0000 0.2579 0.0000
In: 0.0000 0.0000 0.2579
Gd: 0.5000 0.0000 0.5927
Gd: 0.5000 0.5927 0.0000
Gd: 0.5000 0.4073 0.4073

Values from the calculation:
Total magnetization ... 2.378 μB per atom
N(E_F) ... 4.098 states/eV/cell
Energy relative to the elements ... -0.787 eV/atom

Entry 8:
A plane-wave DFT calculation with GGA-PBEsol was carried out for a relaxed GdInAu2 crystal.

Cell lengths 4.8857, 4.8857, 4.8857 Å; angles 60.00, 60.00, 60.00 degrees
Element x y z (fractional)
Au: 0.7500 0.7500 0.7500
Au: 0.2500 0.2500 0.2500
Gd: 0.5000 0.5000 0.5000
In: 0.0000 0.0000 0.0000

Values from the calculation:
Total magnetization ... 1.773 μB per atom
N(E_F) ... 1.881 states/eV/cell
Energy relative to the elements ... -0.716 eV/atom